No. 1
Density functional theory data (PBE-GGA) for a geometry-optimized Ca2GaSnPb structure.

Geometry as CIF:
```
data_Ca2GaSnPb
_chemical_formula_sum 'Ca4 Ga2 Sn2 Pb2'
_symmetry_space_group_name_H-M 'P 1 21/m 1'
_symmetry_Int_Tables_number 11
_cell_length_a 8.537
_cell_length_b 4.442
_cell_length_c 8.979
_cell_angle_alpha 90.00
_cell_angle_beta 115.30
_cell_angle_gamma 90.00
loop_
_symmetry_equiv_pos_as_xyz
'x,y,z'
'-x,-y,-z'
'-x,y+1/2,-z'
'x,-y+1/2,z'
loop_
_atom_site_label
_atom_site_type_symbol
_atom_site_fract_x
_atom_site_fract_y
_atom_site_fract_z
_atom_site_occupancy
Ca1 Ca 0.165 0.250 0.463 1
Ca2 Ca 0.231 0.750 0.103 1
Ga1 Ga 0.287 0.750 0.785 1
Sn1 Sn 0.097 0.250 0.795 1
Pb1 Pb 0.489 0.250 0.370 1
```

Energy relative to the lowest polymorph listed for this composition, meV/atom: 0
DFT formation energy, meV/atom: -375
Total energy, eV per atom: -3.3231


No. 2
Density functional theory data (PBE-GGA) for a geometry-optimized CeH4Ru structure.

Geometry as CIF:
```
data_CeH4Ru
_chemical_formula_sum 'Ce4 H16 Ru4'
_symmetry_space_group_name_H-M 'C m c m'
_symmetry_Int_Tables_number 63
_symmetry_space_group_name_Hall '-C 2c 2'
_cell_length_a 3.917
_cell_length_b 12.184
_cell_length_c 4.896
_cell_angle_alpha 90.00
_cell_angle_beta 90.00
_cell_angle_gamma 90.00
loop_
_atom_site_label
_atom_site_type_symbol
_atom_site_fract_x
_atom_site_fract_y
_atom_site_fract_z
_atom_site_occupancy
Ce1 Ce 0.000 0.129 0.250 1
H1 H 0.000 0.096 0.750 1
H2 H 0.000 0.302 0.001 1
H3 H 0.000 0.500 0.000 1
Ru1 Ru 0.000 0.400 0.250 1
```

Energy relative to the lowest polymorph listed for this composition, meV/atom: 0
Total energy, eV per atom: -5.1825


No. 3
Density functional theory data (PBE-GGA) for a geometry-optimized Be2CdIr structure.

Geometry as CIF:
```
data_Be2CdIr
_chemical_formula_sum 'Be2 Cd1 Ir1'
_symmetry_space_group_name_H-M 'P 4/m m m'
_symmetry_Int_Tables_number 123
_symmetry_space_group_name_Hall '-P 4 2'
_cell_length_a 2.911
_cell_length_b 2.911
_cell_length_c 6.102
_cell_angle_alpha 90.00
_cell_angle_beta 90.00
_cell_angle_gamma 90.00
loop_
_atom_site_label
_atom_site_type_symbol
_atom_site_fract_x
_atom_site_fract_y
_atom_site_fract_z
_atom_site_occupancy
Be1 Be 0.000 0.000 0.191 1
Cd1 Cd 0.500 0.500 0.500 1
Ir1 Ir 0.500 0.500 0.000 1
```

DFT formation energy, meV/atom: -230
Total energy, eV per atom: -4.5373


No. 4
Density functional theory data (PBE-GGA) for a geometry-optimized Gd2ThZr structure.

Geometry as CIF:
```
data_Gd2ThZr
_chemical_formula_sum 'Gd2 Th1 Zr1'
_symmetry_space_group_name_H-M 'P 4/m m m'
_symmetry_Int_Tables_number 123
_symmetry_space_group_name_Hall '-P 4 2'
_cell_length_a 3.434
_cell_length_b 3.434
_cell_length_c 10.017
_cell_angle_alpha 90.00
_cell_angle_beta 90.00
_cell_angle_gamma 90.00
loop_
_atom_site_label
_atom_site_type_symbol
_atom_site_fract_x
_atom_site_fract_y
_atom_site_fract_z
_atom_site_occupancy
Gd1 Gd 0.000 0.000 0.234 1
Th1 Th 0.500 0.500 0.500 1
Zr1 Zr 0.500 0.500 0.000 1
```

Energy relative to the lowest polymorph listed for this composition, meV/atom: 9
DFT formation energy, meV/atom: 108
Total energy, eV per atom: -10.9242


No. 5
Density functional theory data (PBE-GGA) for a geometry-optimized SrPm2Sm3Te6 structure.

Geometry as CIF:
```
data_SrPm2Sm3Te6
_chemical_formula_sum 'Sr2 Pm4 Sm6 Te12'
_symmetry_space_group_name_H-M 'C 1 2/m 1'
_symmetry_Int_Tables_number 12
_cell_length_a 19.602
_cell_length_b 4.486
_cell_length_c 9.024
_cell_angle_alpha 90.00
_cell_angle_beta 103.67
_cell_angle_gamma 90.00
loop_
_symmetry_equiv_pos_as_xyz
'x,y,z'
'-x,-y,-z'
'-x,y,-z'
'x,-y,z'
'x+1/2,y+1/2,z'
'-x+1/2,-y+1/2,-z'
'-x+1/2,y+1/2,-z'
'x+1/2,-y+1/2,z'
loop_
_atom_site_label
_atom_site_type_symbol
_atom_site_fract_x
_atom_site_fract_y
_atom_site_fract_z
_atom_site_occupancy
Sr1 Sr 0.000 0.000 0.000 1
Pm1 Pm 0.172 0.500 0.344 1
Sm1 Sm 0.000 0.000 0.500 1
Sm2 Sm 0.165 0.500 0.821 1
Te1 Te 0.002 0.500 0.257 1
Te2 Te 0.164 0.000 0.582 1
Te3 Te 0.170 0.000 0.082 1
```

Raw formation energy, eV/atom: -1.44
Total energy, eV per atom: -5.1217


No. 6
Density functional theory data (PBE-GGA) for a geometry-optimized Li3Cu9Si2 structure.

Geometry as CIF:
```
data_Li3Cu9Si2
_chemical_formula_sum 'Li6 Cu18 Si4'
_symmetry_space_group_name_H-M 'I m m m'
_symmetry_Int_Tables_number 71
_symmetry_space_group_name_Hall '-I 2 2'
_cell_length_a 3.837
_cell_length_b 9.372
_cell_length_c 10.303
_cell_angle_alpha 90.00
_cell_angle_beta 90.00
_cell_angle_gamma 90.00
loop_
_atom_site_label
_atom_site_type_symbol
_atom_site_fract_x
_atom_site_fract_y
_atom_site_fract_z
_atom_site_occupancy
Li1 Li 0.000 0.000 0.000 1
Li2 Li 0.000 0.000 0.278 1
Cu1 Cu 0.000 0.290 0.153 1
Cu2 Cu 0.000 0.373 0.377 1
Cu3 Cu 0.000 0.500 0.000 1
Si1 Si 0.000 0.158 0.500 1
```

Raw formation energy, eV/atom: -0.02
Total energy, eV per atom: -3.8382


No. 7
Density functional theory data (PBE-GGA) for a geometry-optimized LiPrNb2N4 structure.

Geometry as CIF:
```
data_LiPrNb2N4
_chemical_formula_sum 'Li4 Pr4 Nb8 N16'
_symmetry_space_group_name_H-M 'C m c m'
_symmetry_Int_Tables_number 63
_symmetry_space_group_name_Hall '-C 2c 2'
_cell_length_a 3.309
_cell_length_b 10.563
_cell_length_c 10.691
_cell_angle_alpha 90.00
_cell_angle_beta 90.00
_cell_angle_gamma 90.00
loop_
_atom_site_label
_atom_site_type_symbol
_atom_site_fract_x
_atom_site_fract_y
_atom_site_fract_z
_atom_site_occupancy
Li1 Li 0.000 0.162 0.250 1
Pr1 Pr 0.000 0.110 0.750 1
Nb1 Nb 0.000 0.375 0.551 1
N1 N 0.000 0.000 0.000 1
N2 N 0.000 0.268 0.108 1
N3 N 0.000 0.431 0.750 1
```

Raw formation energy, eV/atom: -1.04
Total energy, eV per atom: -8.5540


No. 8
Density functional theory data (PBE-GGA) for a geometry-optimized SrZn2Mo structure.

Geometry as CIF:
```
data_SrZn2Mo
_chemical_formula_sum 'Sr3 Zn6 Mo3'
_symmetry_space_group_name_H-M 'R -3 m'
_symmetry_Int_Tables_number 166
_symmetry_space_group_name_Hall '-R 3 2"'
_cell_length_a 3.0982
_cell_length_b 3.0982
_cell_length_c 28.9627
_cell_angle_alpha 90.00
_cell_angle_beta 90.00
_cell_angle_gamma 120.00
loop_
_atom_site_label
_atom_site_type_symbol
_atom_site_fract_x
_atom_site_fract_y
_atom_site_fract_z
_atom_site_occupancy
Sr1 Sr 0.0000 0.0000 0.0000 1
Zn1 Zn 0.0000 0.0000 0.2388 1
Mo1 Mo 0.0000 0.0000 0.5000 1
```

Energy relative to the lowest polymorph listed for this composition, meV/atom: 315
DFT formation energy, meV/atom: 600
Total energy, eV per atom: -3.1657


No. 9
Density functional theory data (PBE-GGA) for a geometry-optimized PRu2Br structure.

Geometry as CIF:
```
data_PRu2Br
_chemical_formula_sum 'P1 Ru2 Br1'
_symmetry_space_group_name_H-M 'P m m 2'
_symmetry_Int_Tables_number 25
_cell_length_a 2.933
_cell_length_b 3.622
_cell_length_c 6.835
_cell_angle_alpha 90.00
_cell_angle_beta 90.00
_cell_angle_gamma 90.00
loop_
_symmetry_equiv_pos_as_xyz
'x,y,z'
'-x,-y,z'
'-x,y,z'
'x,-y,z'
loop_
_atom_site_label
_atom_site_type_symbol
_atom_site_fract_x
_atom_site_fract_y
_atom_site_fract_z
_atom_site_occupancy
P1 P 0.000 0.000 0.000 1
Ru1 Ru 0.000 0.000 0.330 1
Ru2 Ru 0.500 0.500 0.075 1
Br1 Br 0.500 0.500 0.539 1
```

Raw formation energy, eV/atom: 0.27
Energy relative to the lowest polymorph listed for this composition, meV/atom: 376
Total energy, eV per atom: -6.1380


No. 10
Density functional theory data (PBE-GGA) for a geometry-optimized TlCrNi2P structure.

Geometry as CIF:
```
data_TlCrNi2P
_chemical_formula_sum 'Tl1 Cr1 Ni2 P1'
_symmetry_space_group_name_H-M 'P 4/m m m'
_symmetry_Int_Tables_number 123
_symmetry_space_group_name_Hall '-P 4 2'
_cell_length_a 4.517
_cell_length_b 4.517
_cell_length_c 4.325
_cell_angle_alpha 90.00
_cell_angle_beta 90.00
_cell_angle_gamma 90.00
loop_
_atom_site_label
_atom_site_type_symbol
_atom_site_fract_x
_atom_site_fract_y
_atom_site_fract_z
_atom_site_occupancy
Tl1 Tl 0.000 0.000 0.000 1
Cr1 Cr 0.500 0.500 0.500 1
Ni1 Ni 0.000 0.500 0.500 1
P1 P 0.500 0.500 0.000 1
```

DFT formation energy, meV/atom: 713
Total energy, eV per atom: -5.0794


No. 11
Density functional theory data (PBE-GGA) for a geometry-optimized NaZnGa structure.

Geometry as CIF:
```
data_NaZnGa
_chemical_formula_sum 'Na2 Zn2 Ga2'
_symmetry_space_group_name_H-M 'I 4 m m'
_symmetry_Int_Tables_number 107
_symmetry_space_group_name_Hall 'I 4 -2'
_cell_length_a 3.488
_cell_length_b 3.488
_cell_length_c 10.546
_cell_angle_alpha 90.00
_cell_angle_beta 90.00
_cell_angle_gamma 90.00
loop_
_atom_site_label
_atom_site_type_symbol
_atom_site_fract_x
_atom_site_fract_y
_atom_site_fract_z
_atom_site_occupancy
Na1 Na 0.000 0.000 0.000 1
Zn1 Zn 0.000 0.000 0.300 1
Ga1 Ga 0.000 0.000 0.700 1
```

Energy relative to the lowest polymorph listed for this composition, meV/atom: 85
DFT formation energy, meV/atom: 3
Total energy, eV per atom: -1.8701